Below is a geometry-optimized KHoPb2 structure, with properties calculated at the PBE-GGA level. Values from VASP.

Computed properties:
VASP energy: -13.74 eV/cell
calculated volume: 31.09 Å³/atom
crystal system: tetragonal
ΔE_f: -0.162 eV per atom
distance to the lowest polymorph of the same formula: 139 meV per atom

Cell and atoms, written as Quantum ESPRESSO input:
```
&SYSTEM
  ibrav = 0, nat = 4, ntyp = 3
/
ATOMIC_SPECIES
K 39.10 K.upf
Ho 164.93 Ho.upf
Pb 207.20 Pb.upf
ATOMIC_POSITIONS crystal
K 0.000 0.000 0.000
Ho 0.500 0.500 0.000
Pb 0.000 0.500 0.500
Pb 0.500 0.000 0.500
CELL_PARAMETERS angstrom
5.812 0.000 0.000
0.000 5.812 0.000
0.000 0.000 3.682
```